# 1
DFT (PBEsol) results for a geometry-optimized KRbRh2W structure.

Lattice parameters (Å, degrees): 4.8142 4.8142 5.0745 90.00 90.00 90.00
Closest atoms and distances in Å follow each position.
Space group P4/mmm (No. 123)
One atom of each set of equivalent atoms:
K: 0.0000 0.0000 0.0000 x1  4 Rh 2.41, 2 Rb 2.54
Rb: 0.0000 0.0000 0.5000 x1  2 K 2.54
Rh: 0.0000 0.5000 0.0000 x2  2 K 2.41
W: 0.5000 0.5000 0.5000 x1  4 Rb 3.40, 8 Rh 3.50

**Energy of formation from the pure elements**: 2.71 eV per atom
**Calculated volume**: 23.52 A^3/atom
**Crystal system**: tetragonal
**DOS at the Fermi energy**: 5.9 states/eV/cell
**E**: -18.67 eV per formula unit

# 2
DFT (PBEsol) results for a geometry-optimized KRbS structure.

Lattice parameters (Å, degrees): 8.1440 4.9147 9.4292 90.00 90.00 90.00
Closest atoms and distances in Å follow each position.
Space group Pnma (No. 62)
One atom of each set of equivalent atoms:
K: 0.1472 0.2500 0.0738 x4  4 S 3.11-3.16
Rb: 0.0242 0.2500 0.6768 x4  5 S 3.34-3.61, 2 K 3.68
S: 0.2378 0.7500 0.8879 x4  4 K 3.11-3.16, 3 Rb 3.34-3.44

**Raw formation energy**: -100.93 kJ per mole of atoms
**Calculated volume**: 31.45 A^3/atom
**Crystal system**: orthorhombic
**DOS at the Fermi energy**: 0.0 states/eV/cell
**E**: -9.68 eV per formula unit

# 3
DFT (PBEsol) results for a geometry-optimized KRbS3 structure.

Lattice parameters (Å, degrees): 5.8885 5.8885 5.8885 90.00 90.00 90.00
Closest atoms and distances in Å follow each position.
Space group Pm-3m (No. 221)
One atom of each set of equivalent atoms:
K: 0.0000 0.0000 0.0000 x1  12 S 4.16
Rb: 0.5000 0.5000 0.5000 x1  6 S 2.94
S: 0.0000 0.5000 0.5000 x3  2 Rb 2.94

**Raw formation energy**: 46.96 kJ per mole of atoms
**Calculated volume**: 40.84 A^3/atom
**Crystal system**: cubic
**DOS at the Fermi energy**: 6.6 states/eV/cell
**E**: -12.88 eV per formula unit

# 4
DFT (PBEsol) results for a geometry-optimized K2RbS2 structure.

Lattice parameters (Å, degrees): 8.9280 8.9280 3.4069 90.00 90.00 90.00
Closest atoms and distances in Å follow each position.
Space group P4/mbm (No. 127)
One atom of each set of equivalent atoms:
K: 0.1220 0.3780 0.0000 x4  6 S 3.07-3.20, 3 K 3.08-3.41
Rb: 0.0000 0.0000 0.0000 x2  2 Rb 3.41, 4 K 3.55, 8 S 3.71
S: 0.1760 0.6760 0.5000 x4  6 K 3.07-3.20, 2 S 3.41

**Raw formation energy**: -80.89 kJ per mole of atoms
**Calculated volume**: 27.16 A^3/atom
**Crystal system**: tetragonal
**DOS at the Fermi energy**: 1.9 states/eV/cell
**E**: -16.25 eV per formula unit

# 5
DFT (PBEsol) results for a geometry-optimized KRb2Sb2 structure.

Lattice parameters (Å, degrees): 9.0155 9.0155 5.3132 90.00 90.00 90.00
Closest atoms and distances in Å follow each position.
Space group P4/mbm (No. 127)
One atom of each set of equivalent atoms:
K: 0.0000 0.0000 0.0000 x2  4 Sb 3.65
Rb: 0.1736 0.3264 0.5000 x4  6 Sb 3.73-3.83
Sb: 0.1100 0.6100 0.0000 x4  1 Sb 2.80

**Raw formation energy**: -31.47 kJ per mole of atoms
**Calculated volume**: 43.19 A^3/atom
**Crystal system**: tetragonal
**DOS at the Fermi energy**: 10.1 states/eV/cell
**E**: -13.93 eV per formula unit

# 6
DFT (PBEsol) results for a geometry-optimized KRbSe3 structure.

Lattice parameters (Å, degrees): 6.1130 6.1130 6.1130 90.00 90.00 90.00
Closest atoms and distances in Å follow each position.
Space group Pm-3m (No. 221)
One atom of each set of equivalent atoms:
K: 0.0000 0.0000 0.0000 x1  12 Se 4.32
Rb: 0.5000 0.5000 0.5000 x1  6 Se 3.06
Se: 0.0000 0.5000 0.5000 x3  2 Rb 3.06

**Raw formation energy**: 31.93 kJ per mole of atoms
**Calculated volume**: 45.69 A^3/atom
**Crystal system**: cubic
**DOS at the Fermi energy**: 6.4 states/eV/cell
**E**: -12.05 eV per formula unit

# 7
DFT (PBEsol) results for a geometry-optimized K3Rb3Zn4Sn3Se13 structure.

Lattice parameters (Å, degrees): 14.4720 14.4720 15.0823 90.00 90.00 120.00
Closest atoms and distances in Å follow each position.
Space group R3m (No. 160, hexagonal axes)
One atom of each set of equivalent atoms:
K: 0.0425 0.5213 0.0000 x9  4 Se 3.25-3.38
Rb: 0.1805 0.3609 0.6319 x9  4 Se 3.34-3.57
Zn: 0.0000 0.0000 0.3138 x3  4 Se 2.41-2.47
Zn: 0.0942 0.1884 0.1015 x9  4 Se 2.43-2.49
Sn: 0.1821 0.3641 0.9060 x9  4 Se 2.53-2.55
Se: 0.0000 0.0000 0.1537 x3  4 Zn 2.41-2.49
Se: 0.0090 0.2910 0.1518 x18  1 Zn 2.48, 1 Sn 2.55
Se: 0.0835 0.1670 0.9416 x9  1 Zn 2.43, 1 Sn 2.53
Se: 0.1823 0.0912 0.3760 x9  1 Zn 2.47, 1 Sn 2.55

**Raw formation energy**: -76.22 kJ per mole of atoms
**Calculated volume**: 35.07 A^3/atom
**Crystal system**: trigonal
**E**: -96.17 eV per formula unit

# 8
DFT (PBEsol) results for a geometry-optimized KRbSi2 structure.

Lattice parameters (Å, degrees): 9.5101 9.5101 5.4386 90.00 90.00 90.00
Closest atoms and distances in Å follow each position.
Space group I-42d (No. 122)
One atom of each set of equivalent atoms:
K: 0.0000 0.0000 0.0000 x4  2 Rb 2.72
Rb: 0.0000 0.0000 0.5000 x4  2 K 2.72
Si: 0.2466 0.7500 0.1250 x8  2 Si 2.72

**Raw formation energy**: 69.12 kJ per mole of atoms
**Calculated volume**: 30.74 A^3/atom
**Crystal system**: tetragonal
**DOS at the Fermi energy**: 10.0 states/eV/cell
**E**: -10.79 eV per formula unit

# 9
DFT (PBEsol) results for a geometry-optimized K3RbSn structure.

Lattice parameters (Å, degrees): 6.6722 6.6722 6.6722 90.00 90.00 90.00
Closest atoms and distances in Å follow each position.
Space group Pm-3m (No. 221)
One atom of each set of equivalent atoms:
K: 0.0000 0.0000 0.5000 x3  2 Rb 3.34
Rb: 0.0000 0.0000 0.0000 x1  6 K 3.34
Sn: 0.5000 0.5000 0.5000 x1  12 K 4.72

**Energy of formation from the pure elements**: 0.62 eV per atom
**Calculated volume**: 59.41 A^3/atom
**Crystal system**: cubic
**DOS at the Fermi energy**: 6.4 states/eV/cell
**E**: -5.61 eV per formula unit

# 10
DFT (PBEsol) results for a geometry-optimized KRbSr3 structure.

Lattice parameters (Å, degrees): 7.3294 7.3294 7.3294 90.00 90.00 90.00
Closest atoms and distances in Å follow each position.
Space group Pm-3m (No. 221)
One atom of each set of equivalent atoms:
K: 0.0000 0.0000 0.0000 x1  12 Sr 5.18
Rb: 0.5000 0.5000 0.5000 x1  6 Sr 3.66
Sr: 0.0000 0.5000 0.5000 x3  2 Rb 3.66

**Energy of formation from the pure elements**: 0.63 eV per atom
**Calculated volume**: 78.75 A^3/atom
**Crystal system**: cubic
**DOS at the Fermi energy**: 7.2 states/eV/cell
**E**: -4.52 eV per formula unit

# 11
DFT (PBEsol) results for a geometry-optimized K3RbTa structure.

Lattice parameters (Å, degrees): 6.8134 6.8134 6.8134 90.00 90.00 90.00
Closest atoms and distances in Å follow each position.
Space group Pm-3m (No. 221)
One atom of each set of equivalent atoms:
K: 0.0000 0.0000 0.5000 x3  2 Ta 3.41
Rb: 0.5000 0.5000 0.5000 x1  12 K 4.82
Ta: 0.0000 0.0000 0.0000 x1  6 K 3.41

**Energy of formation from the pure elements**: 1.25 eV per atom
**Calculated volume**: 63.26 A^3/atom
**Crystal system**: cubic
**DOS at the Fermi energy**: 2.6 states/eV/cell
**E**: -10.73 eV per formula unit

# 12
DFT (PBEsol) results for a geometry-optimized KRbY2Tc structure.

Lattice parameters (Å, degrees): 5.2334 5.2334 6.8559 90.00 90.00 90.00
Closest atoms and distances in Å follow each position.
Space group P4/mmm (No. 123)
One atom of each set of equivalent atoms:
K: 0.0000 0.0000 0.0000 x1  2 Tc 3.43, 4 Rb 3.70
Rb: 0.5000 0.5000 0.0000 x1  4 K 3.70
Y: 0.0000 0.5000 0.5000 x2  2 Tc 2.62
Tc: 0.0000 0.0000 0.5000 x1  4 Y 2.62

**Energy of formation from the pure elements**: 0.57 eV per atom
**Calculated volume**: 37.55 A^3/atom
**Crystal system**: tetragonal
**DOS at the Fermi energy**: 5.9 states/eV/cell
**E**: -24.20 eV per formula unit